8
Lattice="-4.621 3.746 4.261 0.555 -4.231 4.321 3.443 -1.259 4.841" Properties=species:S:1:pos:R:3 comment="PBE Sr2Al4NiPt, relaxed" energy_ev_per_cell=-34.90 magmom_total_mub_per_cell=0.0 pbc="T T T"
Ni 1.114 -1.529 2.553
Al 2.441 -3.823 8.287
Al -0.504 -1.436 11.003
Al -2.502 1.619 4.641
Al -0.666 0.132 2.949
Sr 2.175 -2.987 4.985
Sr -0.505 -0.606 6.268
Pt 0.577 -2.092 8.748